# 1
The following is a PBE calculation of crystalline MgTc2Pt at its relaxed geometry, from Alexandria.

Lattice parameters (Å, degrees): 3.6812 3.6909 4.4832 90.00 90.00 90.00
Positions (direct):
Tc 0.0000 0.0000 0.0000
Mg 0.5000 0.0000 0.5000
Tc 0.5000 0.5000 0.0000
Pt 0.0000 0.5000 0.5000

Calculated values
DFT total energy = -7.166 eV/atom
E_form = -0.074 eV per atom
space-group type = P4/mmm

=====

# 2
The following is a PBE calculation of crystalline Tl3Cd2 at its relaxed geometry, from Alexandria.

Lattice parameters (Å, degrees): 3.5477 3.5477 13.0607 82.19 82.19 60.00
Positions (direct):
Cd 0.3045 0.3045 0.0864
Tl 0.9058 0.9058 0.2826
Tl 0.0942 0.0942 0.7174
Tl 0.5000 0.5000 0.5000
Cd 0.6955 0.6955 0.9136

Calculated values
energy above the most stable polymorph in this dataset = 0 meV per atom
DFT total energy = -1.751 eV/atom
E_form = 0.035 eV per atom
space-group type = R-3m

=====

# 3
The following is a PBE calculation of crystalline Ni2POs at its relaxed geometry, from Alexandria.

Lattice parameters (Å, degrees): 2.9259 2.9259 5.5122 90.00 90.00 90.00
Positions (direct):
Ni 0.5000 0.5000 0.2286
Os 0.0000 0.0000 0.5139
Ni 0.0000 0.0000 0.9878
P 0.5000 0.5000 0.7697

Calculated values
energy above the most stable polymorph in this dataset = 85 meV per atom
DFT total energy = -7.061 eV/atom
E_form = -0.011 eV per atom
space-group type = P4mm

=====

# 4
The following is a PBE calculation of crystalline Ta2SiPdO at its relaxed geometry, from Alexandria.

Lattice parameters (Å, degrees): 4.9799 3.3154 4.9799 90.00 90.00 90.00
Positions (direct):
O 0.0000 0.5000 0.0000
Si 0.0000 0.0000 0.0000
Pd 0.5000 0.5000 0.5000
Ta 0.0000 0.0000 0.5000
Ta 0.5000 0.0000 0.0000

Calculated values
formation energy without anion corrections = 0.292 eV per atom
DFT total energy = -7.564 eV/atom
space-group type = P4/mmm

=====

# 5
The following is a PBE calculation of crystalline CeHPt at its relaxed geometry, from Alexandria.

Lattice parameters (Å, degrees): 4.0431 4.4643 6.0176 94.31 70.42 90.02
Site moments in Bohr magnetons follow the coordinates.
Positions (direct):
Ce 0.1790 0.2270 0.6612  0.72
H 0.6167 0.9880 0.7856  0.00
Pt 0.8950 0.2284 0.2299  0.00
Pt 0.7282 0.7040 0.5629  0.00
Ce 0.4442 0.7054 0.1317  0.72
H 0.0065 0.9444 0.0073  0.00

Calculated values
energy above the most stable polymorph in this dataset = 37 meV per atom
DFT total energy = -5.898 eV/atom
space-group type = C2/m

=====

# 6
The following is a PBE calculation of crystalline ScMn2Ir at its relaxed geometry, from Alexandria.

Lattice parameters (Å, degrees): 4.1656 3.8878 3.8878 90.00 90.00 90.00
Site moments in Bohr magnetons follow the coordinates.
Positions (direct):
Mn 0.0000 0.5000 0.5000  3.47
Sc 0.5000 0.5000 0.0000  -0.07
Ir 0.5000 0.0000 0.5000  0.28
Mn 0.0000 0.0000 0.0000  3.47

Calculated values
energy above the most stable polymorph in this dataset = 77 meV per atom
DFT total energy = -8.567 eV/atom
E_form = -0.184 eV per atom
space-group type = P4/mmm